Entry from Alexandria: crystalline Ba3Ag2Bi4Pb2 at its relaxed geometry (GGA-PBE).

Cell lengths 4.9948, 4.9948, 19.0511 Å; angles 90.00, 90.00, 120.00 degrees
Space group P-3m1 (No. 164)
One atom of each set of equivalent atoms:
Ba (0.0000, 0.0000, 0.0000) [1 per cell]
Ba (0.0000, 0.0000, 0.2477) [2 per cell]
Ag (0.3333, 0.6667, 0.1289) [2 per cell]
Bi (0.3333, 0.6667, 0.3587) [2 per cell]
Bi (0.3333, 0.6667, 0.8777) [2 per cell]
Pb (0.3333, 0.6667, 0.5663) [2 per cell]

Computed properties:
Energy relative to the elements (eV per formula unit): -5.66
Total moment (μB per formula unit): 0.00